## P
This record from Alexandria describes crystalline Cs3CdF at its relaxed geometry. The functional is GGA-PBE.

Values from the calculation:
spin magnetization: 0.0 μB per cell
volume: 1211.9 Å³ per cell

Geometry as CIF:
```
data_Cs3CdF
_chemical_formula_sum 'Cs12 Cd4 F4'
_cell_length_a 15.038
_cell_length_b 11.934
_cell_length_c 6.754
_cell_angle_alpha 90.00
_cell_angle_beta 90.67
_cell_angle_gamma 90.00
_space_group_name_H-M_alt 'C 1 2/m 1'
_space_group_IT_number 12
loop_
_space_group_symop_operation_xyz
'x,y,z'
'-x,-y,-z'
'-x,y,-z'
'x,-y,z'
'x+1/2,y+1/2,z'
'-x+1/2,-y+1/2,-z'
'-x+1/2,y+1/2,-z'
'x+1/2,-y+1/2,z'
loop_
_atom_site_label
_atom_site_type_symbol
_atom_site_fract_x
_atom_site_fract_y
_atom_site_fract_z
Cs1 Cs 0.105 0.000 0.295
Cs2 Cs 0.113 0.295 0.726
Cd1 Cd 0.204 0.500 0.237
F1 F 0.000 0.158 0.500
```

## Q
This record from Alexandria describes crystalline Cs3CdF at its relaxed geometry. The functional is GGA-PBE.

Values from the calculation:
spin magnetization: 0.0 μB per cell
volume: 234.2 Å³ per cell

Geometry as CIF:
```
data_Cs3CdF
_chemical_formula_sum 'Cs3 Cd1 F1'
_cell_length_a 6.164
_cell_length_b 6.164
_cell_length_c 6.164
_cell_angle_alpha 90.00
_cell_angle_beta 90.00
_cell_angle_gamma 90.00
_space_group_name_H-M_alt 'P m -3 m'
_space_group_IT_number 221
_space_group_name_Hall '-P 4 2 3'
loop_
_atom_site_label
_atom_site_type_symbol
_atom_site_fract_x
_atom_site_fract_y
_atom_site_fract_z
Cs1 Cs 0.000 0.000 0.500
Cd1 Cd 0.500 0.500 0.500
F1 F 0.000 0.000 0.000
```

Here are the energies relative to the best structure, in eV/atom: P 0.016; Q 0.000.

## P
This record from Alexandria describes crystalline Cs2CdPdF6 at its relaxed geometry. The functional is GGA-PBE.

Values from the calculation:
spin magnetization: 0.0 μB per cell
volume: 398.8 Å³ per cell

Geometry as CIF:
```
data_Cs2CdPdF6
_chemical_formula_sum 'Cs4 Cd2 Pd2 F12'
_cell_length_a 6.163
_cell_length_b 6.163
_cell_length_c 10.498
_cell_angle_alpha 90.00
_cell_angle_beta 90.00
_cell_angle_gamma 90.00
_space_group_name_H-M_alt 'I 4/m m m'
_space_group_IT_number 139
_space_group_name_Hall '-I 4 2'
loop_
_atom_site_label
_atom_site_type_symbol
_atom_site_fract_x
_atom_site_fract_y
_atom_site_fract_z
Cs1 Cs 0.000 0.500 0.250
Cd1 Cd 0.000 0.000 0.000
Pd1 Pd 0.000 0.000 0.500
F1 F 0.000 0.000 0.202
F2 F 0.231 0.231 0.500
```

## Q
This record from Alexandria describes crystalline Cs2CdPdF6 at its relaxed geometry. The functional is GGA-PBE.

Values from the calculation:
spin magnetization: 2.0 μB per cell
volume: 214.3 Å³ per cell

Geometry as CIF:
```
data_Cs2CdPdF6
_chemical_formula_sum 'Cs2 Cd1 Pd1 F6'
_cell_length_a 6.4612
_cell_length_b 6.4612
_cell_length_c 5.9271
_cell_angle_alpha 90.00
_cell_angle_beta 90.00
_cell_angle_gamma 120.00
_space_group_name_H-M_alt 'P -3 m 1'
_space_group_IT_number 164
_space_group_name_Hall '-P 3 2"'
loop_
_atom_site_label
_atom_site_type_symbol
_atom_site_fract_x
_atom_site_fract_y
_atom_site_fract_z
Cs1 Cs 0.3333 0.6667 0.1998
Cd1 Cd 0.0000 0.0000 0.5000
Pd1 Pd 0.0000 0.0000 0.0000
F1 F 0.1512 0.3023 0.7578
```

Here are the energies relative to the best structure, in eV/atom: P 0.000; Q 0.058.

## P
This record from Alexandria describes crystalline CsCdFe at its relaxed geometry. The functional is GGA-PBE.

Values from the calculation:
spin magnetization: 5.0 μB per cell
volume: 200.7 Å³ per cell

Geometry as CIF:
```
data_CsCdFe
_chemical_formula_sum 'Cs2 Cd2 Fe2'
_cell_length_a 3.719
_cell_length_b 4.137
_cell_length_c 13.208
_cell_angle_alpha 81.11
_cell_angle_beta 88.49
_cell_angle_gamma 90.00
_space_group_name_H-M_alt 'P -1'
_space_group_IT_number 2
loop_
_space_group_symop_operation_xyz
'x,y,z'
'-x,-y,-z'
loop_
_atom_site_label
_atom_site_type_symbol
_atom_site_fract_x
_atom_site_fract_y
_atom_site_fract_z
Cs1 Cs 0.218 0.342 0.318
Cd1 Cd 0.259 0.048 0.902
Fe1 Fe 0.245 0.473 0.056
```

## Q
This record from Alexandria describes crystalline CsCdFe at its relaxed geometry. The functional is GGA-PBE.

Values from the calculation:
spin magnetization: 5.1 μB per cell
volume: 230.7 Å³ per cell

Geometry as CIF:
```
data_CsCdFe
_chemical_formula_sum 'Cs2 Cd2 Fe2'
_cell_length_a 5.259
_cell_length_b 4.100
_cell_length_c 10.780
_cell_angle_alpha 90.00
_cell_angle_beta 97.00
_cell_angle_gamma 90.00
_space_group_name_H-M_alt 'P 1 21/m 1'
_space_group_IT_number 11
loop_
_space_group_symop_operation_xyz
'x,y,z'
'-x,-y,-z'
'-x,y+1/2,-z'
'x,-y+1/2,z'
loop_
_atom_site_label
_atom_site_type_symbol
_atom_site_fract_x
_atom_site_fract_y
_atom_site_fract_z
Cs1 Cs 0.200 0.250 0.302
Cd1 Cd 0.364 0.250 0.908
Fe1 Fe 0.112 0.750 0.021
```

Here are the energies relative to the best structure, in eV/atom: P 0.000; Q 0.043.

## P
This record from Alexandria describes crystalline CsCdGa3 at its relaxed geometry. The functional is GGA-PBE.

Values from the calculation:
spin magnetization: 0.0 μB per cell
volume: 237.6 Å³ per cell

Geometry as CIF:
```
data_CsCdGa3
_chemical_formula_sum 'Cs1 Cd1 Ga3'
_cell_length_a 6.194
_cell_length_b 6.194
_cell_length_c 6.194
_cell_angle_alpha 90.00
_cell_angle_beta 90.00
_cell_angle_gamma 90.00
_space_group_name_H-M_alt 'P m -3 m'
_space_group_IT_number 221
_space_group_name_Hall '-P 4 2 3'
loop_
_atom_site_label
_atom_site_type_symbol
_atom_site_fract_x
_atom_site_fract_y
_atom_site_fract_z
Cs1 Cs 0.000 0.000 0.000
Cd1 Cd 0.500 0.500 0.500
Ga1 Ga 0.000 0.000 0.500
```

## Q
This record from Alexandria describes crystalline CsCdGa3 at its relaxed geometry. The functional is GGA-PBE.

Values from the calculation:
spin magnetization: 0.0 μB per cell
volume: 166.2 Å³ per cell

Geometry as CIF:
```
data_CsCdGa3
_chemical_formula_sum 'Cs1 Cd1 Ga3'
_cell_length_a 5.498
_cell_length_b 5.498
_cell_length_c 5.498
_cell_angle_alpha 90.00
_cell_angle_beta 90.00
_cell_angle_gamma 90.00
_space_group_name_H-M_alt 'P m -3 m'
_space_group_IT_number 221
_space_group_name_Hall '-P 4 2 3'
loop_
_atom_site_label
_atom_site_type_symbol
_atom_site_fract_x
_atom_site_fract_y
_atom_site_fract_z
Cs1 Cs 0.000 0.000 0.000
Cd1 Cd 0.500 0.500 0.500
Ga1 Ga 0.000 0.500 0.500
```

Here are the energies relative to the best structure, in eV/atom: P 0.881; Q 0.000.

## P
This record from Alexandria describes crystalline CsCd3Ga at its relaxed geometry. The functional is GGA-PBE.

Values from the calculation:
spin magnetization: 0.0 μB per cell
volume: 636.6 Å³ per cell

Geometry as CIF:
```
data_CsCd3Ga
_chemical_formula_sum 'Cs4 Cd12 Ga4'
_cell_length_a 9.547
_cell_length_b 7.115
_cell_length_c 10.010
_cell_angle_alpha 90.00
_cell_angle_beta 110.58
_cell_angle_gamma 90.00
_space_group_name_H-M_alt 'P 1 21/c 1'
_space_group_IT_number 14
loop_
_space_group_symop_operation_xyz
'x,y,z'
'-x,-y,-z'
'-x,y+1/2,-z+1/2'
'x,-y+1/2,z+1/2'
loop_
_atom_site_label
_atom_site_type_symbol
_atom_site_fract_x
_atom_site_fract_y
_atom_site_fract_z
Cs1 Cs 0.137 0.030 0.209
Cd1 Cd 0.155 0.529 0.088
Cd2 Cd 0.327 0.510 0.393
Cd3 Cd 0.444 0.165 0.581
Ga1 Ga 0.425 0.733 0.134
```

## Q
This record from Alexandria describes crystalline CsCd3Ga at its relaxed geometry. The functional is GGA-PBE.

Values from the calculation:
spin magnetization: 0.0 μB per cell
volume: 174.9 Å³ per cell

Geometry as CIF:
```
data_CsCd3Ga
_chemical_formula_sum 'Cs1 Cd3 Ga1'
_cell_length_a 5.592
_cell_length_b 5.592
_cell_length_c 5.592
_cell_angle_alpha 90.00
_cell_angle_beta 90.00
_cell_angle_gamma 90.00
_space_group_name_H-M_alt 'P m -3 m'
_space_group_IT_number 221
_space_group_name_Hall '-P 4 2 3'
loop_
_atom_site_label
_atom_site_type_symbol
_atom_site_fract_x
_atom_site_fract_y
_atom_site_fract_z
Cs1 Cs 0.000 0.000 0.000
Cd1 Cd 0.000 0.500 0.500
Ga1 Ga 0.500 0.500 0.500
```

Here are the energies relative to the best structure, in eV/atom: P 0.000; Q 0.079.